Here is an optimized crystal structure of ScRe2Ru from the Alexandria database. Energies are from GGA-PBE.

Results
- Formation energy: -0.093 eV/atom
- ΔE to the lowest computed polymorph: 0.0107 eV/atom

a = 4.444 Å, b = 4.444 Å, c = 4.444 Å
α = 119.99°, β = 119.99°, γ = 90.02°
Fractional positions:
Ru  0.500  0.500  0.000
Re  0.250  0.750  0.500
Re  0.000  0.000  0.000
Sc  0.750  0.250  0.500

Here is an optimized crystal structure of ScRe2Ru from the Alexandria database. Energies are from GGA-PBE.

Results
- Formation energy: -0.104 eV/atom
- ΔE to the lowest computed polymorph: 0.0000 eV/atom

a = 3.108 Å, b = 4.343 Å, c = 4.618 Å
α = 90.00°, β = 90.00°, γ = 90.00°
Fractional positions:
Ru  0.500  0.000  0.500
Re  0.000  0.000  0.000
Sc  0.000  0.500  0.500
Re  0.500  0.500  0.000

Q: Which D(E_F) values were calculated for the entries above? A: 0.80 0.79, in states/eV per atom.